## Ba2YAu (GGA-PBE)

Data for a relaxed structure of Ba2YAu.

Output
The energy of formation comes out at 0.130 eV per atom.

abc: 8.448 8.448 8.448
angles: 90.00 90.00 90.00
Space group Fm-3m (No. 225)
Asymmetric unit:
Ba  0.250  0.250  0.250 x8
Y  0.000  0.000  0.000 x4
Au  0.000  0.000  0.500 x4

## BaYAu (GGA-PBE)

Data for a relaxed structure of BaYAu.

Output
The energy of formation comes out at -0.215 eV per atom.

abc: 7.536 7.536 7.536
angles: 90.00 90.00 90.00
Space group F-43m (No. 216)
Asymmetric unit:
Ba  0.000  0.000  0.000 x4
Y  0.000  0.000  0.500 x4
Au  0.250  0.250  0.750 x4

## BaY3Au (GGA-PBE)

Data for a relaxed structure of BaY3Au.

Output
The energy of formation comes out at -0.155 eV per atom.

abc: 5.706 5.706 5.706
angles: 90.00 90.00 90.00
Space group Pm-3m (No. 221)
Asymmetric unit:
Ba  0.000  0.000  0.000 x1
Y  0.000  0.500  0.500 x3
Au  0.500  0.500  0.500 x1

## Ba2YAu (GGA-PBE)

Data for a relaxed structure of Ba2YAu.

Output
The energy of formation comes out at -0.244 eV per atom.

abc: 14.370 3.983 6.140
angles: 90.00 115.25 90.00
Space group Cm (No. 8)
Asymmetric unit:
Ba  0.000  0.000  0.000 x2
Ba  0.192  0.000  0.692 x2
Y  0.379  0.000  0.379 x2
Au  0.216  0.500  0.214 x2

## BaYAu3 (GGA-PBE)

Data for a relaxed structure of BaYAu3.

Output
The energy of formation comes out at 0.448 eV per atom.

abc: 5.698 5.698 5.698
angles: 90.00 90.00 90.00
Space group Pm-3m (No. 221)
Asymmetric unit:
Ba  0.000  0.000  0.000 x1
Y  0.500  0.500  0.500 x1
Au  0.000  0.000  0.500 x3

## BaYAu2 (GGA-PBE)

Data for a relaxed structure of BaYAu2.

Output
The energy of formation comes out at -0.745 eV per atom.

abc: 3.753 3.801 7.776
angles: 90.00 90.00 90.00
Space group Pmmm (No. 47)
Asymmetric unit:
Ba  0.000  0.000  0.000 x1
Y  0.000  0.000  0.500 x1
Au  0.500  0.500  0.303 x2

## Ba2YAu2 (GGA-PBE)

Data for a relaxed structure of Ba2YAu2.

Output
The energy of formation comes out at -0.508 eV per atom.

abc: 8.073 8.073 5.137
angles: 90.00 90.00 90.00
Space group P4/mbm (No. 127)
Asymmetric unit:
Ba  0.166  0.334  0.000 x4
Y  0.000  0.000  0.500 x2
Au  0.142  0.642  0.500 x4

## BaYAu4 (GGA-PBE)

Data for a relaxed structure of BaYAu4.

Output
The energy of formation comes out at -0.427 eV per atom.

abc: 8.270 8.270 8.270
angles: 90.00 90.00 90.00
Space group F-43m (No. 216)
Asymmetric unit:
Ba  0.000  0.000  0.000 x4
Y  0.250  0.250  0.750 x4
Au  0.124  0.124  0.376 x16